No. 1
# Nd3SmDy6Y2

A relaxed Nd3SmDy6Y2 crystal (GGA-PBE, Alexandria).

Its calculated formation energy is 0.2 eV/f.u. The total energy comes out at -4.947 eV per atom.

It has space group C2/m (No. 12), with a = 6.224 Å, b = 10.777 Å, c = 11.877 Å, α = 90.00°, β = 100.03° and γ = 90.00°. The asymmetric unit holds Nd at (0.000, 0.000, 0.000), Nd at (0.000, 0.333, 0.000), Sm at (0.000, 0.500, 0.500), Dy at (0.249, 0.333, 0.748), Dy at (0.250, 0.000, 0.748) and Y at (0.000, 0.167, 0.500).

=====

No. 2
# Ac4RhSe2S

A relaxed Ac4RhSe2S crystal (GGA-PBE, Alexandria).

The calculation puts the formation energy from raw total energies at -1.590 eV/atom. The total energy comes out at -5.950 eV per atom.

It has space group P2/m (No. 10), with a = 7.702 Å, b = 4.324 Å, c = 7.820 Å, α = 90.00°, β = 108.66° and γ = 90.00°. The asymmetric unit holds Ac at (0.233, 0.000, 0.227), Ac at (0.252, 0.500, 0.763), Rh at (0.000, 0.500, 0.000), Se at (0.000, 0.000, 0.500), Se at (0.500, 0.500, 0.500) and S at (0.500, 0.000, 0.000).

=====

No. 3
# Ba2SiNiI

A relaxed Ba2SiNiI crystal (GGA-PBE, Alexandria).

The calculation puts the formation energy from raw total energies at -0.698 eV/atom. The total energy comes out at -4.018 eV per atom.

It has space group P4/mmm (No. 123), with a = 6.192 Å, b = 6.192 Å, c = 4.371 Å, α = 90.00°, β = 90.00° and γ = 90.00°. The asymmetric unit holds Ba at (0.000, 0.500, 0.000), Si at (0.000, 0.000, 0.500), Ni at (0.000, 0.000, 0.000) and I at (0.500, 0.500, 0.500).

=====

No. 4
# Ca2Ac6Y

A relaxed Ca2Ac6Y crystal (GGA-PBE, Alexandria).

Its calculated formation energy is 0.7 eV/f.u. The value obtained for the energy above the most stable polymorph in this dataset is 0.0000 eV/atom. The total energy comes out at -3.821 eV per atom.

It has space group P-6m2 (No. 187), with a = 3.9183 Å, b = 3.9183 Å, c = 29.3059 Å, α = 90.00°, β = 90.00° and γ = 120.00°. The asymmetric unit holds Ca at (0.0000, 0.0000, 0.1734), Ac at (0.0000, 0.0000, 0.3977), Ac at (0.6667, 0.3333, 0.0638), Ac at (0.6667, 0.3333, 0.2856) and Y at (0.6667, 0.3333, 0.5000).

=====

Repeat the first record exactly.
# Nd3SmDy6Y2

A relaxed Nd3SmDy6Y2 crystal (GGA-PBE, Alexandria).

Its calculated formation energy is 0.2 eV/f.u. The total energy comes out at -4.947 eV per atom.

It has space group C2/m (No. 12), with a = 6.224 Å, b = 10.777 Å, c = 11.877 Å, α = 90.00°, β = 100.03° and γ = 90.00°. The asymmetric unit holds Nd at (0.000, 0.000, 0.000), Nd at (0.000, 0.333, 0.000), Sm at (0.000, 0.500, 0.500), Dy at (0.249, 0.333, 0.748), Dy at (0.250, 0.000, 0.748) and Y at (0.000, 0.167, 0.500).